Below is a relaxed TlSbTe2 crystal, with properties calculated at the PBE level.

Computed properties:
E (eV per atom): -3.2730
Excess energy over the best structure of this formula in the dataset (meV/atom): 150
Size of the total moment (μB/f.u.): 0.00
Formation energy from raw total energies (meV/atom): -80

Lattice parameters (Å, degrees): 4.097 4.341 15.805 90.00 90.00 90.00
Space group Imm2 (No. 44)
Unique sites:
Tl 0.000 0.000 0.000 [2 per cell]
Sb 0.000 0.500 0.753 [2 per cell]
Te 0.000 0.000 0.394 [2 per cell]
Te 0.000 0.500 0.177 [2 per cell]


Below is a relaxed LaBi2Rh2 crystal, with properties calculated at the PBE level.

Computed properties:
E (eV per atom): -5.8159
Size of the total moment (μB/f.u.): 0.00

Lattice parameters (Å, degrees): 7.880 7.880 3.729 90.00 90.00 90.00
Space group P4/mbm (No. 127)
Unique sites:
La 0.000 0.000 0.000 [2 per cell]
Bi 0.159 0.341 0.500 [4 per cell]
Rh 0.129 0.629 0.000 [4 per cell]


Below is a relaxed ScTlIr crystal, with properties calculated at the PBE level.

Computed properties:
E (eV per atom): -6.1542
Size of the total moment (μB/f.u.): 0.00

Lattice parameters (Å, degrees): 6.463 6.463 6.463 90.00 90.00 90.00
Space group F-43m (No. 216)
Unique sites:
Sc 0.000 0.000 0.000 [4 per cell]
Tl 0.000 0.000 0.500 [4 per cell]
Ir 0.250 0.250 0.750 [4 per cell]


Below is a relaxed PmPrBePd crystal, with properties calculated at the PBE level.

Computed properties:
E (eV per atom): -4.8339
Size of the total moment (μB/f.u.): 0.00

Lattice parameters (Å, degrees): 7.201 7.201 7.201 90.00 90.00 90.00
Space group F-43m (No. 216)
Unique sites:
Pm 0.000 0.000 0.000 [4 per cell]
Pr 0.000 0.000 0.500 [4 per cell]
Be 0.250 0.250 0.750 [4 per cell]
Pd 0.250 0.250 0.250 [4 per cell]


Below is a relaxed TaRe2As crystal, with properties calculated at the PBE level.

Computed properties:
E (eV per atom): -10.2320
Size of the total moment (μB/f.u.): 0.00

Lattice parameters (Å, degrees): 9.443 3.079 4.557 90.00 105.80 90.00
Space group Cm (No. 8)
Unique sites:
Ta 0.000 0.000 0.000 [2 per cell]
Re 0.001 0.500 0.506 [2 per cell]
Re 0.237 0.000 0.645 [2 per cell]
As 0.253 0.500 0.195 [2 per cell]


Below is a relaxed KAlRe crystal, with properties calculated at the PBE level.

Computed properties:
E (eV per atom): -4.0258
Excess energy over the best structure of this formula in the dataset (meV/atom): 1100
Size of the total moment (μB/f.u.): 2.08

Lattice parameters (Å, degrees): 6.689 6.689 6.689 90.00 90.00 90.00
Space group F-43m (No. 216)
Unique sites:
K 0.000 0.000 0.000 [4 per cell]
Al 0.000 0.000 0.500 [4 per cell]
Re 0.250 0.250 0.250 [4 per cell]


> What is the E in the sixth record?

-4.0258 eV per atom